Entry 1:
DFT (GGA-PBE) results for an optimized crystal structure of VFeRhW2.

Summary:
- Total DFT energy (no corrections): -9.121 eV/atom
- Energy of formation from the pure elements: 1.047 eV per atom

Cell lengths 4.4388, 4.4388, 4.1748 Å; angles 90.00, 90.00, 90.00 degrees
With the nearest neighbours (Å) after each atom.
Space group P4/mmm (No. 123)
Symmetry-distinct sites (fractional):
V: 0.0000 0.0000 0.0000  2 Fe 2.09
Fe: 0.0000 0.0000 0.5000  2 V 2.09, 4 W 2.22
Rh: 0.5000 0.5000 0.0000  8 W 3.05, 4 V 3.14
W: 0.0000 0.5000 0.5000  2 Fe 2.22

***

Entry 2:
DFT (GGA-PBE) results for an optimized crystal structure of V2FeRhW.

Summary:
- Total DFT energy (no corrections): -7.829 eV/atom
- Energy of formation from the pure elements: 1.572 eV per atom

Cell lengths 4.5085, 4.5085, 4.3531 Å; angles 90.00, 90.00, 90.00 degrees
With the nearest neighbours (Å) after each atom.
Space group P4/mmm (No. 123)
Symmetry-distinct sites (fractional):
V: 0.0000 0.5000 0.0000  2 W 2.25
Fe: 0.0000 0.0000 0.5000  2 W 2.18
Rh: 0.5000 0.5000 0.5000  8 V 3.13, 4 Fe 3.19
W: 0.0000 0.0000 0.0000  2 Fe 2.18, 4 V 2.25

***

Entry 3:
DFT (GGA-PBE) results for an optimized crystal structure of VZnFeRh.

Summary:
- Total DFT energy (no corrections): -6.790 eV/atom
- Energy of formation from the pure elements: -0.238 eV per atom

Cell lengths 5.8816, 5.8816, 5.8816 Å; angles 90.00, 90.00, 90.00 degrees
With the nearest neighbours (Å) after each atom.
Space group F-43m (No. 216)
Symmetry-distinct sites (fractional):
V: 0.0000 0.0000 0.0000  4 Fe 2.55, 4 Rh 2.55
Zn: 0.0000 0.0000 0.5000  4 Fe 2.55, 4 Rh 2.55
Fe: 0.2500 0.2500 0.2500  4 Zn 2.55, 4 V 2.55
Rh: 0.2500 0.2500 0.7500  4 Zn 2.55, 4 V 2.55

***

Entry 4:
DFT (GGA-PBE) results for an optimized crystal structure of ZrV2FeRh.

Summary:
- Total DFT energy (no corrections): -8.101 eV/atom
- Energy of formation from the pure elements: 0.419 eV per atom

Cell lengths 4.1618, 4.1618, 4.7984 Å; angles 90.00, 90.00, 90.00 degrees
With the nearest neighbours (Å) after each atom.
Space group P4/mmm (No. 123)
Symmetry-distinct sites (fractional):
Zr: 0.0000 0.0000 0.0000  4 Rh 2.94, 8 V 3.18
V: 0.0000 0.5000 0.5000  2 Fe 2.08
Fe: 0.5000 0.5000 0.5000  4 V 2.08
Rh: 0.5000 0.5000 0.0000  2 Fe 2.40

***

Entry 5:
DFT (GGA-PBE) results for an optimized crystal structure of Fe2Rh6W.

Summary:
- Total DFT energy (no corrections): -8.174 eV/atom
- Energy of formation from the pure elements: 0.047 eV per atom

Cell lengths 2.6860, 7.2615, 12.9903 Å; angles 90.00, 90.00, 90.00 degrees
With the nearest neighbours (Å) after each atom.
Space group Immm (No. 71)
Symmetry-distinct sites (fractional):
Fe: 0.0000 0.1674 0.0000  6 Rh 2.43-2.62, 3 Fe 2.43-2.69
Rh: 0.0000 0.3213 0.1658  1 Fe 2.43, 5 Rh 2.59-2.70
Rh: 0.0000 0.5000 0.3538  4 Fe 2.62, 8 Rh 2.69-2.77
W: 0.0000 0.0000 0.5000  2 W 2.69, 4 Fe 2.76, 8 Rh 2.85

***

Entry 6:
DFT (GGA-PBE) results for an optimized crystal structure of Fe3Rh4W.

Summary:
- Total DFT energy (no corrections): -8.548 eV/atom
- Energy of formation from the pure elements: -0.079 eV per atom

Cell lengths 8.6883, 5.4727, 4.5850 Å; angles 90.00, 90.00, 90.00 degrees
With the nearest neighbours (Å) after each atom.
Space group Pmma (No. 51)
Symmetry-distinct sites (fractional):
Fe: 0.0000 0.0000 0.0000  8 Rh 2.63-2.67, 2 Fe 2.69, 2 W 2.74
Fe: 0.2500 0.0000 0.3464  8 Rh 2.60-2.71, 4 Fe 2.69-2.74
Fe: 0.2500 0.5000 0.3569  8 Rh 2.65-2.70, 2 W 2.72, 2 Fe 2.74
Rh: 0.0000 0.2484 0.5000  6 Fe 2.65-2.67, 2 W 2.67, 4 Rh 2.72-2.75
Rh: 0.2500 0.2446 0.8600  6 Fe 2.60-2.71, 2 W 2.66, 4 Rh 2.68-2.80
W: 0.0000 0.5000 0.0000  8 Rh 2.66-2.67, 4 Fe 2.72-2.74

***

Entry 7:
DFT (GGA-PBE) results for an optimized crystal structure of Fe2Rh2W.

Summary:
- Total DFT energy (no corrections): -8.636 eV/atom
- Energy of formation from the pure elements: 0.281 eV per atom
- Energy above the most stable polymorph in this dataset: 131 meV/atom

Cell lengths 7.0821, 7.0821, 2.6609 Å; angles 90.00, 90.00, 90.00 degrees
With the nearest neighbours (Å) after each atom.
Space group P4/mbm (No. 127)
Symmetry-distinct sites (fractional):
Fe: 0.1700 0.3300 0.0000  6 Rh 2.42-2.51, 2 Fe 2.66
Rh: 0.1284 0.6284 0.5000  6 Fe 2.42-2.51, 3 Rh 2.57-2.66
W: 0.0000 0.0000 0.5000  2 W 2.66, 4 Rh 2.78, 8 Fe 2.95

***

Entry 8:
DFT (GGA-PBE) results for an optimized crystal structure of Fe4RhW.

Summary:
- Total DFT energy (no corrections): -9.069 eV/atom
- Energy of formation from the pure elements: -0.043 eV per atom

Cell lengths 6.6438, 6.6438, 6.6438 Å; angles 90.00, 90.00, 90.00 degrees
With the nearest neighbours (Å) after each atom.
Space group F-43m (No. 216)
Symmetry-distinct sites (fractional):
Fe: 0.1252 0.1252 0.1252  6 Fe 2.34-2.35
Rh: 0.0000 0.0000 0.5000  12 Fe 2.75, 4 W 2.88
W: 0.2500 0.2500 0.7500  12 Fe 2.75, 4 Rh 2.88

***

Entry 9:
DFT (GGA-PBE) results for an optimized crystal structure of Fe2RhW2.

Summary:
- Total DFT energy (no corrections): -9.566 eV/atom
- Energy of formation from the pure elements: 0.471 eV per atom
- Energy above the most stable polymorph in this dataset: 403 meV/atom

Cell lengths 3.0503, 3.0503, 15.3885 Å; angles 90.00, 90.00, 90.00 degrees
With the nearest neighbours (Å) after each atom.
Space group I4/mmm (No. 139)
Symmetry-distinct sites (fractional):
Fe: 0.0000 0.5000 0.2500  4 Fe 2.16
Rh: 0.0000 0.0000 0.0000  8 W 2.79, 4 Rh 3.05
W: 0.0000 0.0000 0.3849  4 Fe 2.58, 4 Rh 2.79

***

Entry 10:
DFT (GGA-PBE) results for an optimized crystal structure of Fe2Rh2W.

Summary:
- Total DFT energy (no corrections): -8.767 eV/atom
- Energy of formation from the pure elements: 0.149 eV per atom
- Energy above the most stable polymorph in this dataset: 0 meV/atom

Cell lengths 7.0681, 7.0681, 2.7185 Å; angles 90.00, 90.00, 90.00 degrees
With the nearest neighbours (Å) after each atom.
Space group P4/mbm (No. 127)
Symmetry-distinct sites (fractional):
Fe: 0.1194 0.3806 0.0000  1 Fe 2.39, 6 Rh 2.45-2.53
Rh: 0.1765 0.6765 0.5000  6 Fe 2.45-2.53, 2 Rh 2.72
W: 0.0000 0.0000 0.0000  2 W 2.72, 4 Fe 2.82, 8 Rh 2.94

***

Entry 11:
DFT (GGA-PBE) results for an optimized crystal structure of FeRhW3.

Summary:
- Total DFT energy (no corrections): -9.653 eV/atom
- Energy of formation from the pure elements: 1.282 eV per atom
- Energy above the most stable polymorph in this dataset: 0 meV/atom

Cell lengths 4.4137, 4.4137, 4.4137 Å; angles 90.00, 90.00, 90.00 degrees
With the nearest neighbours (Å) after each atom.
Space group Pm-3m (No. 221)
Symmetry-distinct sites (fractional):
Fe: 0.0000 0.0000 0.0000  6 W 2.21
Rh: 0.5000 0.5000 0.5000  12 W 3.12
W: 0.0000 0.0000 0.5000  2 Fe 2.21

***

Entry 12:
DFT (GGA-PBE) results for an optimized crystal structure of Fe2RhW2.

Summary:
- Total DFT energy (no corrections): -9.969 eV/atom
- Energy of formation from the pure elements: 0.067 eV per atom
- Energy above the most stable polymorph in this dataset: 0 meV/atom

Cell lengths 6.8771, 6.8771, 2.8649 Å; angles 90.00, 90.00, 90.00 degrees
With the nearest neighbours (Å) after each atom.
Space group P4/mbm (No. 127)
Symmetry-distinct sites (fractional):
Fe: 0.1304 0.3696 0.0000  6 W 2.42-2.53, 1 Fe 2.54, 2 Rh 2.70
Rh: 0.0000 0.0000 0.0000  4 Fe 2.70, 2 Rh 2.86, 8 W 2.93
W: 0.1696 0.6696 0.5000  6 Fe 2.42-2.53